VASP calculation (GGA-PBEsol) on a relaxed Ba3CuRu2O9 crystal.

```
Ba3CuRu2O9
1.0
2.831 -5.079 0.000
2.831 5.079 0.000
0.000 0.000 14.152
Ba Cu Ru O
6 2 4 18
direct
0.022 0.978 0.750
0.319 0.681 0.095
0.319 0.681 0.405
0.681 0.319 0.595
0.681 0.319 0.905
0.978 0.022 0.250
0.000 0.000 0.000
0.000 0.000 0.500
0.355 0.645 0.652
0.355 0.645 0.848
0.645 0.355 0.152
0.645 0.355 0.348
0.053 0.494 0.750
0.182 0.309 0.590
0.182 0.309 0.910
0.199 0.801 0.581
0.199 0.801 0.919
0.309 0.182 0.090
0.309 0.182 0.410
0.494 0.053 0.250
0.495 0.505 0.250
0.505 0.495 0.750
0.506 0.947 0.750
0.691 0.818 0.590
0.691 0.818 0.910
0.801 0.199 0.081
0.801 0.199 0.419
0.818 0.691 0.090
0.818 0.691 0.410
0.947 0.506 0.250
```

Results
Formation energy without anion corrections: -1.752 eV/atom
Size of the total moment: 10.21 μB/cell
VASP energy: -209.302 eV per cell